## In3Sn5Hg12 (PBE)

Data for crystalline In3Sn5Hg12 at its relaxed geometry.

Unit cell a=14.789 b=14.789 c=14.789 alpha=109.47 beta=109.47 gamma=109.47
Fractional coordinates of all 80 atoms:
In (0.750, 0.375, 0.125)
In (0.875, 0.750, 0.125)
In (0.375, 0.750, 0.625)
In (0.250, 0.125, 0.375)
In (0.875, 0.125, 0.250)
In (0.375, 0.625, 0.250)
In (0.625, 0.375, 0.750)
In (0.125, 0.875, 0.750)
In (0.750, 0.875, 0.625)
In (0.625, 0.250, 0.375)
In (0.125, 0.250, 0.875)
In (0.250, 0.625, 0.875)
Sn (0.125, 0.375, 0.250)
Sn (0.000, 0.500, 0.000)
Sn (0.000, 0.000, 0.000)
Sn (0.375, 0.250, 0.125)
Sn (0.500, 0.000, 0.500)
Sn (0.500, 0.500, 0.000)
Sn (0.125, 0.750, 0.375)
Sn (0.750, 0.125, 0.875)
Sn (0.750, 0.625, 0.375)
Sn (0.375, 0.125, 0.750)
Sn (0.625, 0.875, 0.250)
Sn (0.500, 0.500, 0.500)
Sn (0.500, 0.000, 0.000)
Sn (0.000, 0.000, 0.500)
Sn (0.250, 0.375, 0.625)
Sn (0.250, 0.875, 0.125)
Sn (0.000, 0.500, 0.500)
Sn (0.875, 0.250, 0.625)
Sn (0.625, 0.750, 0.875)
Sn (0.875, 0.625, 0.750)
Hg (0.733, 0.130, 0.062)
Hg (0.328, 0.562, 0.431)
Hg (0.938, 0.370, 0.267)
Hg (0.562, 0.233, 0.130)
Hg (0.603, 0.733, 0.672)
Hg (0.938, 0.569, 0.172)
Hg (0.328, 0.767, 0.397)
Hg (0.069, 0.897, 0.130)
Hg (0.569, 0.938, 0.672)
Hg (0.733, 0.603, 0.172)
Hg (0.767, 0.438, 0.370)
Hg (0.828, 0.931, 0.062)
Hg (0.130, 0.733, 0.562)
Hg (0.370, 0.431, 0.103)
Hg (0.103, 0.931, 0.370)
Hg (0.397, 0.130, 0.569)
Hg (0.103, 0.172, 0.233)
Hg (0.438, 0.672, 0.069)
Hg (0.828, 0.897, 0.267)
Hg (0.130, 0.397, 0.069)
Hg (0.370, 0.938, 0.767)
Hg (0.569, 0.630, 0.397)
Hg (0.931, 0.828, 0.562)
Hg (0.767, 0.328, 0.897)
Hg (0.431, 0.370, 0.603)
Hg (0.069, 0.172, 0.438)
Hg (0.233, 0.672, 0.103)
Hg (0.172, 0.103, 0.733)
Hg (0.630, 0.062, 0.233)
Hg (0.870, 0.603, 0.931)
Hg (0.562, 0.328, 0.931)
Hg (0.603, 0.870, 0.431)
Hg (0.897, 0.828, 0.767)
Hg (0.897, 0.069, 0.630)
Hg (0.870, 0.267, 0.438)
Hg (0.172, 0.069, 0.938)
Hg (0.630, 0.569, 0.897)
Hg (0.431, 0.062, 0.328)
Hg (0.267, 0.397, 0.828)
Hg (0.233, 0.562, 0.630)
Hg (0.931, 0.103, 0.870)
Hg (0.672, 0.233, 0.603)
Hg (0.438, 0.767, 0.870)
Hg (0.062, 0.431, 0.828)
Hg (0.397, 0.267, 0.328)
Hg (0.062, 0.630, 0.733)
Hg (0.672, 0.438, 0.569)
Hg (0.267, 0.870, 0.938)

Computed properties:
The value obtained for the formation energy from the elements is 150.6 meV per atom. The density of states at the Fermi level is 0.457 states/eV per atom. Its symmetry is Ia-3d.